Entry one
This record from the Alexandria database describes InTe2PbI after structural relaxation. The functional is PBE.

Output
Crystal system: tetragonal

a b c (Å): 5.9001 5.9001 6.3342
angles (deg): 90.00 90.00 90.00
Space group P4/mmm (No. 123)
Unique sites:
1 In 0.0000 0.0000 0.0000 x1
2 Te 0.0000 0.5000 0.5000 x2
3 Pb 0.5000 0.5000 0.5000 x1
4 I 0.5000 0.5000 0.0000 x1

=====

Entry two
This record from the Alexandria database describes InTe2PbI after structural relaxation. The functional is PBE.

Output
Crystal system: tetragonal

a b c (Å): 5.7349 5.7349 5.8095
angles (deg): 90.00 90.00 90.00
Space group P4/mmm (No. 123)
Unique sites:
1 In 0.0000 0.0000 0.0000 x1
2 Te 0.0000 0.5000 0.0000 x2
3 Pb 0.5000 0.5000 0.5000 x1
4 I 0.0000 0.0000 0.5000 x1

=====

Tell me which of them is the most stable. Sure, it is entry two.

=====

Entry one
This record from the Alexandria database describes InPd2I after structural relaxation. The functional is PBE.

Output
Crystal system: cubic

a b c (Å): 6.8980 6.8980 6.8980
angles (deg): 90.00 90.00 90.00
Space group Fm-3m (No. 225)
Unique sites:
1 In 0.0000 0.0000 0.0000 x4
2 Pd 0.2500 0.2500 0.2500 x8
3 I 0.0000 0.0000 0.5000 x4

=====

Entry two
This record from the Alexandria database describes InPd2I after structural relaxation. The functional is PBE.

Output
Crystal system: tetragonal

a b c (Å): 4.8812 4.8812 16.7100
angles (deg): 90.00 90.00 90.00
Space group I-42d (No. 122)
Unique sites:
1 In 0.0000 0.0000 0.0000 x4
2 Pd 0.2427 0.2500 0.1250 x8
3 I 0.0000 0.0000 0.5000 x4

=====

Tell me which of them is the most stable. Sure, it is entry one.

=====

Entry one
This record from the Alexandria database describes InPdI6 after structural relaxation. The functional is PBE.

Output
Crystal system: triclinic

a b c (Å): 7.1865 7.2066 7.6153
angles (deg): 62.54 64.41 62.34
Space group P-1 (No. 2)
Unique sites:
1 In 0.0000 0.0000 0.0000 x1
2 Pd 0.5000 0.5000 0.5000 x1
3 I 0.1054 0.7388 0.7479 x2
4 I 0.2681 0.5751 0.2559 x2
5 I 0.4210 0.1101 0.7378 x2

=====

Entry two
This record from the Alexandria database describes InPdI6 after structural relaxation. The functional is PBE.

Output
Crystal system: monoclinic

a b c (Å): 7.3493 13.1458 7.2928
angles (deg): 90.00 98.62 90.00
Space group C2/m (No. 12)
Unique sites:
1 In 0.0000 0.0000 0.0000 x2
2 Pd 0.0000 0.0000 0.5000 x2
3 I 0.1436 0.1440 0.3007 x8
4 I 0.1749 0.5000 0.1869 x4

=====

Tell me which of them is the most stable. Sure, it is entry two.

=====

Entry one
This record from the Alexandria database describes InPdI2 after structural relaxation. The functional is PBE.

Output
Crystal system: trigonal

a b c (Å): 4.7800 4.7800 25.9349
angles (deg): 90.00 90.00 120.00
Space group R-3m (No. 166, hexagonal axes)
Unique sites:
1 In 0.0000 0.0000 0.0000 x3
2 Pd 0.0000 0.0000 0.5000 x3
3 I 0.0000 0.0000 0.4018 x6

=====

Entry two
This record from the Alexandria database describes InPdI2 after structural relaxation. The functional is PBE.

Output
Crystal system: cubic

a b c (Å): 7.6574 7.6574 7.6574
angles (deg): 90.00 90.00 90.00
Space group Fm-3m (No. 225)
Unique sites:
1 In 0.0000 0.0000 0.0000 x4
2 Pd 0.0000 0.0000 0.5000 x4
3 I 0.2500 0.2500 0.2500 x8

=====

Tell me which of them is the most stable. Sure, it is entry one.

=====

Entry one
This record from the Alexandria database describes Sr2InPdI after structural relaxation. The functional is PBE.

Output
Crystal system: tetragonal

a b c (Å): 6.0386 6.0386 5.1075
angles (deg): 90.00 90.00 90.00
Space group P4/mmm (No. 123)
Unique sites:
1 Sr 0.0000 0.5000 0.0000 x2
2 In 0.0000 0.0000 0.5000 x1
3 Pd 0.0000 0.0000 0.0000 x1
4 I 0.5000 0.5000 0.5000 x1

=====

Entry two
This record from the Alexandria database describes Sr2InPdI after structural relaxation. The functional is PBE.

Output
Crystal system: tetragonal

a b c (Å): 6.3580 6.3580 4.9808
angles (deg): 90.00 90.00 90.00
Space group P4/mmm (No. 123)
Unique sites:
1 Sr 0.0000 0.5000 0.0000 x2
2 In 0.0000 0.0000 0.0000 x1
3 Pd 0.0000 0.0000 0.5000 x1
4 I 0.5000 0.5000 0.5000 x1

=====

Tell me which of them is the most stable. Sure, it is entry one.

=====

Entry one
This record from the Alexandria database describes In2PtI after structural relaxation. The functional is PBE.

Output
Crystal system: tetragonal

a b c (Å): 6.6151 6.6151 13.8467
angles (deg): 90.00 90.00 90.00
Space group I-42d (No. 122)
Unique sites:
1 In 0.1564 0.2500 0.1250 x8
2 Pt 0.0000 0.0000 0.0000 x4
3 I 0.0000 0.0000 0.5000 x4

=====

Entry two
This record from the Alexandria database describes In2PtI after structural relaxation. The functional is PBE.

Output
Crystal system: cubic

a b c (Å): 7.4481 7.4481 7.4481
angles (deg): 90.00 90.00 90.00
Space group Fm-3m (No. 225)
Unique sites:
1 In 0.2500 0.2500 0.2500 x8
2 Pt 0.0000 0.0000 0.0000 x4
3 I 0.0000 0.0000 0.5000 x4

=====

Entry three
This record from the Alexandria database describes In2PtI after structural relaxation. The functional is PBE.

Output
Crystal system: trigonal

a b c (Å): 4.1289 4.1289 22.6642
angles (deg): 90.00 90.00 120.00
Space group R-3m (No. 166, hexagonal axes)
Unique sites:
1 In 0.0000 0.0000 0.2271 x6
2 Pt 0.0000 0.0000 0.5000 x3
3 I 0.0000 0.0000 0.0000 x3

=====

Tell me which of them is the most stable. Sure, it is entry three.

=====

Entry one
This record from the Alexandria database describes InPtI2 after structural relaxation. The functional is PBE.

Output
Crystal system: tetragonal

a b c (Å): 10.8287 10.8287 5.3084
angles (deg): 90.00 90.00 90.00
Space group I-42d (No. 122)
Unique sites:
1 In 0.0000 0.0000 0.0000 x4
2 Pt 0.0000 0.0000 0.5000 x4
3 I 0.0491 0.2500 0.6250 x8

=====

Entry two
This record from the Alexandria database describes InPtI2 after structural relaxation. The functional is PBE.

Output
Crystal system: cubic

a b c (Å): 7.5670 7.5670 7.5670
angles (deg): 90.00 90.00 90.00
Space group Fm-3m (No. 225)
Unique sites:
1 In 0.0000 0.0000 0.0000 x4
2 Pt 0.0000 0.0000 0.5000 x4
3 I 0.2500 0.2500 0.2500 x8

=====

Tell me which of them is the most stable. Sure, it is entry one.

=====

Entry one
This record from the Alexandria database describes InPt2I after structural relaxation. The functional is PBE.

Output
Crystal system: tetragonal

a b c (Å): 5.1902 5.1902 15.4156
angles (deg): 90.00 90.00 90.00
Space group I-42d (No. 122)
Unique sites:
1 In 0.0000 0.0000 0.0000 x4
2 Pt 0.2377 0.2500 0.6250 x8
3 I 0.0000 0.0000 0.5000 x4

=====

Entry two
This record from the Alexandria database describes InPt2I after structural relaxation. The functional is PBE.

Output
Crystal system: cubic

a b c (Å): 6.8598 6.8598 6.8598
angles (deg): 90.00 90.00 90.00
Space group Fm-3m (No. 225)
Unique sites:
1 In 0.0000 0.0000 0.0000 x4
2 Pt 0.2500 0.2500 0.2500 x8
3 I 0.0000 0.0000 0.5000 x4

=====

Tell me which of them is the most stable. Sure, it is entry one.